No. 1
NpAs12Os4: optimized geometry, PBE-GGA.

a = 8.6082 Å, b = 8.6082 Å, c = 8.6082 Å
α = 90.00°, β = 90.00°, γ = 90.00°
Space group Im-3 (No. 204)
Symmetry-distinct sites (fractional):
Np1 0.0000 0.0000 0.0000 x2
As1 0.0000 0.3454 0.1489 x24
Os1 0.2500 0.2500 0.2500 x8

No. 2
Np2AsP: optimized geometry, PBE-GGA.

Offset from the most stable computed form ... 160 meV per atom

a = 3.4323 Å, b = 3.4323 Å, c = 6.8909 Å
α = 90.00°, β = 90.00°, γ = 90.00°
Space group P4/mmm (No. 123)
Symmetry-distinct sites (fractional):
Np1 0.0000 0.0000 0.2387 x2
As1 0.5000 0.5000 0.5000 x1
P1 0.5000 0.5000 0.0000 x1

No. 3
Np2AsP3: optimized geometry, PBE-GGA.

a = 3.8101 Å, b = 3.8101 Å, c = 7.8435 Å
α = 90.00°, β = 90.00°, γ = 90.00°
Space group P-4m2 (No. 115)
Symmetry-distinct sites (fractional):
Np1 0.0000 0.5000 0.2085 x2
As1 0.0000 0.0000 0.5000 x1
P1 0.0000 0.5000 0.8574 x2
P2 0.5000 0.5000 0.5000 x1

| no. | total magnetization (Bohr magnetons per cell) | formation energy (eV/atom) |
| --- | --- | --- |
| 1 | 5.94 | -0.260 |
| 2 | 7.85 | -0.611 |
| 3 | 5.72 | -0.657 |